Run w
DFT (PBE-GGA) results for crystalline YSbTe2Os at its relaxed geometry.

a = 5.711 Å, b = 5.711 Å, c = 5.901 Å
α = 90.00°, β = 90.00°, γ = 90.00°
Element x y z (fractional)
Y 0.000 0.000 0.000
Sb 0.000 0.000 0.500
Te 0.000 0.500 0.000
Te 0.500 0.000 0.000
Os 0.500 0.500 0.500

Calculated values
- D(E_F) (states/eV/cell) = 6.19


Run x
DFT (PBE-GGA) results for crystalline YSbTe2Os at its relaxed geometry.

a = 5.482 Å, b = 5.482 Å, c = 4.890 Å
α = 90.00°, β = 90.00°, γ = 90.00°
Element x y z (fractional)
Y 0.000 0.000 0.000
Sb 0.500 0.500 0.000
Te 0.000 0.500 0.500
Te 0.500 0.000 0.500
Os 0.500 0.500 0.500

Calculated values
- D(E_F) (states/eV/cell) = 3.57


Which of them is the most stable, and which is the least stable? run x and run w, in that order.


Run w
DFT (PBE-GGA) results for crystalline ZnSb2TeOs at its relaxed geometry.

a = 5.001 Å, b = 5.001 Å, c = 5.144 Å
α = 90.00°, β = 90.00°, γ = 90.00°
Element x y z (fractional)
Zn 0.000 0.000 0.000
Sb 0.000 0.500 0.000
Sb 0.500 0.000 0.000
Te 0.000 0.000 0.500
Os 0.500 0.500 0.500

Calculated values
- D(E_F) (states/eV/cell) = 6.60


Run x
DFT (PBE-GGA) results for crystalline ZnSb2TeOs at its relaxed geometry.

a = 5.002 Å, b = 5.002 Å, c = 5.879 Å
α = 90.00°, β = 90.00°, γ = 90.00°
Element x y z (fractional)
Zn 0.000 0.000 0.000
Sb 0.000 0.500 0.500
Sb 0.500 0.000 0.500
Te 0.500 0.500 0.000
Os 0.500 0.500 0.500

Calculated values
- D(E_F) (states/eV/cell) = 2.48


Which of them is the most stable, and which is the least stable? run x and run w, in that order.


Run w
DFT (PBE-GGA) results for crystalline ZrSbTe2Os at its relaxed geometry.

a = 5.342 Å, b = 5.342 Å, c = 4.925 Å
α = 90.00°, β = 90.00°, γ = 90.00°
Element x y z (fractional)
Zr 0.000 0.000 0.000
Sb 0.500 0.500 0.000
Te 0.000 0.500 0.500
Te 0.500 0.000 0.500
Os 0.500 0.500 0.500

Calculated values
- D(E_F) (states/eV/cell) = 5.42


Run x
DFT (PBE-GGA) results for crystalline ZrSbTe2Os at its relaxed geometry.

a = 5.480 Å, b = 5.480 Å, c = 5.631 Å
α = 90.00°, β = 90.00°, γ = 90.00°
Element x y z (fractional)
Zr 0.000 0.000 0.000
Sb 0.000 0.000 0.500
Te 0.000 0.500 0.000
Te 0.500 0.000 0.000
Os 0.500 0.500 0.500

Calculated values
- D(E_F) (states/eV/cell) = 5.34


Which of them is the most stable, and which is the least stable? run w and run x, in that order.


Run w
DFT (PBE-GGA) results for crystalline Th2SbOs at its relaxed geometry.

a = 9.777 Å, b = 9.777 Å, c = 9.777 Å
α = 24.26°, β = 24.26°, γ = 24.26°
Element x y z (fractional)
Th 0.113 0.113 0.113
Th 0.887 0.887 0.887
Sb 0.000 0.000 0.000
Os 0.500 0.500 0.500

Calculated values
- D(E_F) (states/eV/cell) = 4.69


Run x
DFT (PBE-GGA) results for crystalline Th2SbOs at its relaxed geometry.

a = 6.333 Å, b = 4.196 Å, c = 8.733 Å
α = 90.00°, β = 109.39°, γ = 90.00°
Element x y z (fractional)
Th 0.163 0.250 0.392
Th 0.254 0.750 0.045
Th 0.746 0.250 0.955
Th 0.837 0.750 0.608
Sb 0.377 0.750 0.700
Sb 0.623 0.250 0.300
Os 0.111 0.250 0.800
Os 0.889 0.750 0.200

Calculated values
- D(E_F) (states/eV/cell) = 5.58


Which of them is the most stable, and which is the least stable? run x and run w, in that order.


Run w
DFT (PBE-GGA) results for crystalline Th4SbOs at its relaxed geometry.

a = 7.451 Å, b = 7.451 Å, c = 6.193 Å
α = 90.00°, β = 90.00°, γ = 90.00°
Element x y z (fractional)
Th 0.144 0.319 0.000
Th 0.144 0.681 0.500
Th 0.319 0.144 0.500
Th 0.319 0.856 0.000
Th 0.681 0.144 0.000
Th 0.681 0.856 0.500
Th 0.856 0.319 0.500
Th 0.856 0.681 0.000
Sb 0.500 0.500 0.250
Sb 0.500 0.500 0.750
Os 0.000 0.000 0.250
Os 0.000 0.000 0.750

Calculated values
- D(E_F) (states/eV/cell) = 13.61


Run x
DFT (PBE-GGA) results for crystalline Th4SbOs at its relaxed geometry.

a = 7.456 Å, b = 7.256 Å, c = 7.241 Å
α = 90.00°, β = 92.34°, γ = 90.00°
Element x y z (fractional)
Th 0.135 0.157 0.177
Th 0.135 0.343 0.677
Th 0.333 0.630 0.121
Th 0.333 0.870 0.621
Th 0.667 0.130 0.379
Th 0.667 0.370 0.879
Th 0.865 0.657 0.323
Th 0.865 0.843 0.823
Sb 0.500 0.000 0.000
Sb 0.500 0.500 0.500
Os 0.000 0.000 0.500
Os 0.000 0.500 0.000

Calculated values
- D(E_F) (states/eV/cell) = 12.69


Which of them is the most stable, and which is the least stable? run w and run x, in that order.


Run w
DFT (PBE-GGA) results for crystalline Th3SbOs at its relaxed geometry.

a = 8.417 Å, b = 8.417 Å, c = 5.289 Å
α = 90.00°, β = 90.00°, γ = 125.09°
Element x y z (fractional)
Th 0.000 0.500 0.500
Th 0.126 0.874 0.000
Th 0.306 0.306 0.500
Th 0.500 0.000 0.500
Th 0.694 0.694 0.500
Th 0.874 0.126 0.000
Sb 0.356 0.644 0.000
Sb 0.644 0.356 0.000
Os 0.106 0.894 0.500
Os 0.894 0.106 0.500

Calculated values
- D(E_F) (states/eV/cell) = 9.11


Run x
DFT (PBE-GGA) results for crystalline Th3SbOs at its relaxed geometry.

a = 7.902 Å, b = 4.492 Å, c = 16.616 Å
α = 90.00°, β = 90.00°, γ = 90.00°
Element x y z (fractional)
Th 0.014 0.250 0.094
Th 0.140 0.750 0.447
Th 0.167 0.250 0.706
Th 0.333 0.750 0.206
Th 0.360 0.250 0.947
Th 0.486 0.750 0.594
Th 0.514 0.250 0.406
Th 0.640 0.750 0.053
Th 0.667 0.250 0.794
Th 0.833 0.750 0.294
Th 0.860 0.250 0.553
Th 0.986 0.750 0.906
Sb 0.127 0.250 0.299
Sb 0.373 0.750 0.799
Sb 0.627 0.250 0.201
Sb 0.873 0.750 0.701
Os 0.237 0.750 0.041
Os 0.263 0.250 0.541
Os 0.737 0.750 0.459
Os 0.763 0.250 0.959

Calculated values
- D(E_F) (states/eV/cell) = 16.27


Which of them is the most stable, and which is the least stable? run x and run w, in that order.


Run w
DFT (PBE-GGA) results for crystalline Th3Sb2Os at its relaxed geometry.

a = 9.814 Å, b = 9.814 Å, c = 9.814 Å
α = 154.02°, β = 154.02°, γ = 37.07°
Element x y z (fractional)
Th 0.000 0.000 0.000
Th 0.355 0.355 0.000
Th 0.645 0.645 0.000
Sb 0.177 0.177 0.000
Sb 0.823 0.823 0.000
Os 0.500 0.500 0.000

Calculated values
- D(E_F) (states/eV/cell) = 4.16


Run x
DFT (PBE-GGA) results for crystalline Th3Sb2Os at its relaxed geometry.

a = 7.744 Å, b = 7.744 Å, c = 7.744 Å
α = 148.21°, β = 131.90°, γ = 58.82°
Element x y z (fractional)
Th 0.000 0.000 0.000
Th 0.362 0.362 0.000
Th 0.638 0.638 0.000
Sb 0.179 0.679 0.500
Sb 0.821 0.321 0.500
Os 0.500 0.000 0.500

Calculated values
- D(E_F) (states/eV/cell) = 4.52


Which of them is the most stable, and which is the least stable? run x and run w, in that order.


Run w
DFT (PBE-GGA) results for crystalline Th4SbOs2 at its relaxed geometry.

a = 7.957 Å, b = 7.957 Å, c = 7.957 Å
α = 108.14°, β = 108.14°, γ = 112.17°
Element x y z (fractional)
Th 0.013 0.768 0.114
Th 0.096 0.482 0.745
Th 0.101 0.987 0.755
Th 0.232 0.346 0.245
Th 0.518 0.263 0.614
Th 0.649 0.904 0.386
Th 0.654 0.899 0.886
Th 0.737 0.351 0.255
Sb 0.250 0.750 0.500
Sb 0.500 0.500 0.000
Os 0.375 0.016 0.141
Os 0.766 0.625 0.641
Os 0.875 0.234 0.859
Os 0.984 0.125 0.359

Calculated values
- D(E_F) (states/eV/cell) = 12.51


Run x
DFT (PBE-GGA) results for crystalline Th4SbOs2 at its relaxed geometry.

a = 7.157 Å, b = 7.157 Å, c = 13.935 Å
α = 90.00°, β = 90.00°, γ = 145.22°
Element x y z (fractional)
Th 0.000 0.000 0.000
Th 0.000 0.000 0.500
Th 0.264 0.736 0.611
Th 0.264 0.736 0.889
Th 0.430 0.570 0.250
Th 0.570 0.430 0.750
Th 0.736 0.264 0.111
Th 0.736 0.264 0.389
Sb 0.109 0.891 0.250
Sb 0.891 0.109 0.750
Os 0.373 0.627 0.059
Os 0.373 0.627 0.441
Os 0.627 0.373 0.559
Os 0.627 0.373 0.941

Calculated values
- D(E_F) (states/eV/cell) = 7.65


Which of them is the most stable, and which is the least stable? run x and run w, in that order.


Run w
DFT (PBE-GGA) results for crystalline TiSb2Os at its relaxed geometry.

a = 9.727 Å, b = 9.727 Å, c = 9.727 Å
α = 18.43°, β = 18.43°, γ = 18.43°
Element x y z (fractional)
Ti 0.000 0.000 0.000
Sb 0.410 0.410 0.410
Sb 0.590 0.590 0.590
Os 0.500 0.500 0.500

Calculated values
- D(E_F) (states/eV/cell) = 3.89


Run x
DFT (PBE-GGA) results for crystalline TiSb2Os at its relaxed geometry.

a = 9.635 Å, b = 9.635 Å, c = 9.635 Å
α = 154.26°, β = 154.26°, γ = 36.71°
Element x y z (fractional)
Ti 0.000 0.000 0.000
Ti 0.750 0.250 0.500
Sb 0.135 0.625 0.010
Sb 0.375 0.385 0.510
Sb 0.615 0.125 0.990
Sb 0.875 0.865 0.490
Os 0.250 0.750 0.500
Os 0.500 0.500 0.000

Calculated values
- D(E_F) (states/eV/cell) = 9.37


Which of them is the most stable, and which is the least stable? run x and run w, in that order.


Run w
DFT (PBE-GGA) results for crystalline TiSbOs3 at its relaxed geometry.

a = 4.606 Å, b = 4.606 Å, c = 4.606 Å
α = 90.00°, β = 90.00°, γ = 90.00°
Element x y z (fractional)
Ti 0.000 0.000 0.000
Sb 0.500 0.500 0.500
Os 0.000 0.000 0.500
Os 0.000 0.500 0.000
Os 0.500 0.000 0.000

Calculated values
- D(E_F) (states/eV/cell) = 4.96


Run x
DFT (PBE-GGA) results for crystalline TiSbOs3 at its relaxed geometry.

a = 4.747 Å, b = 4.747 Å, c = 4.747 Å
α = 90.00°, β = 90.00°, γ = 90.00°
Element x y z (fractional)
Ti 0.000 0.000 0.000
Sb 0.500 0.500 0.500
Os 0.000 0.500 0.500
Os 0.500 0.000 0.500
Os 0.500 0.500 0.000

Calculated values
- D(E_F) (states/eV/cell) = 4.33


Which of them is the most stable, and which is the least stable? run w and run x, in that order.


Run w
DFT (PBE-GGA) results for crystalline Tl2SbOs at its relaxed geometry.

a = 8.082 Å, b = 8.082 Å, c = 8.082 Å
α = 157.23°, β = 148.94°, γ = 38.86°
Element x y z (fractional)
Tl 0.178 0.178 0.000
Tl 0.822 0.822 0.000
Sb 0.500 0.000 0.500
Os 0.000 0.500 0.500

Calculated values
- D(E_F) (states/eV/cell) = 3.63


Run x
DFT (PBE-GGA) results for crystalline Tl2SbOs at its relaxed geometry.

a = 5.526 Å, b = 5.526 Å, c = 3.191 Å
α = 90.00°, β = 90.00°, γ = 109.86°
Element x y z (fractional)
Tl 0.000 0.500 0.000
Tl 0.500 0.000 0.000
Sb 0.000 0.000 0.500
Os 0.500 0.500 0.500

Calculated values
- D(E_F) (states/eV/cell) = 2.97


Run y
DFT (PBE-GGA) results for crystalline Tl2SbOs at its relaxed geometry.

a = 3.457 Å, b = 5.086 Å, c = 5.155 Å
α = 90.00°, β = 90.00°, γ = 90.00°
Element x y z (fractional)
Tl 0.000 0.000 0.000
Tl 0.500 0.500 0.000
Sb 0.000 0.500 0.500
Os 0.500 0.000 0.500

Calculated values
- D(E_F) (states/eV/cell) = 4.03


Run z
DFT (PBE-GGA) results for crystalline Tl2SbOs at its relaxed geometry.

a = 3.245 Å, b = 3.245 Å, c = 8.904 Å
α = 90.00°, β = 90.00°, γ = 90.19°
Element x y z (fractional)
Tl 0.000 0.000 0.199
Tl 0.000 0.000 0.801
Sb 0.500 0.500 0.500
Os 0.500 0.500 0.000

Calculated values
- D(E_F) (states/eV/cell) = 3.70


Which of them is the most stable, and which is the least stable? run w and run x, in that order.